Material: SnGe3Br
Method: DFT, SCAN
State: single point on PBEsol structure

Cell and atoms, written as CIF:
```
data_SnGe3Br
_cell_length_a 5.318
_cell_length_b 5.318
_cell_length_c 5.318
_cell_angle_alpha 90.00
_cell_angle_beta 90.00
_cell_angle_gamma 90.00
_symmetry_space_group_name_H-M 'P m -3 m'
_symmetry_Int_Tables_number 221
_symmetry_space_group_name_Hall '-P 4 2 3'
loop_
_atom_site_label
_atom_site_type_symbol
_atom_site_fract_x
_atom_site_fract_y
_atom_site_fract_z
_atom_site_occupancy
Sn1 Sn 0.000 0.000 0.000 1
Ge1 Ge 0.000 0.000 0.500 1
Br1 Br 0.500 0.500 0.500 1
```

Values from the calculation:
DOS(E_F) = 7.1 states/eV per cell
calculated volume = 150.4 Å³/cell
ΔE_f (raw) = 0.89 eV per atom
E_tot = -108.2 eV per cell